Record 1
This record from Alexandria describes a relaxed MgCdTcIr2 crystal. The functional is GGA-PBE.

Properties
Its symmetry is P4/mmm (123). The energy relative to the elements is 1.5347 eV/atom. Its total magnetization is 0.4681 μB/atom.

abc: 4.5509 4.5909 4.5509
angles: 90.00 90.00 90.00
Closest atoms and distances in Å follow each position.
Fractional positions:
Tc 0.0000 0.5000 0.0000  2 Mg 2.30
Mg 0.0000 0.0000 0.0000  4 Ir 2.28, 2 Tc 2.30
Ir 0.5000 0.0000 0.0000  2 Mg 2.28
Cd 0.5000 0.5000 0.5000  4 Tc 3.22, 8 Ir 3.23
Ir 0.0000 0.0000 0.5000  2 Mg 2.28

---

Record 2
This record from Alexandria describes a relaxed BaNb3Si crystal. The functional is GGA-PBE.

Properties
Its symmetry is Pm-3m (221). Its total magnetization is 0.1747 μB/atom. The calculation puts the raw formation energy at 817.3 meV per atom.

abc: 4.9374 4.9374 4.9374
angles: 90.00 90.00 90.00
Closest atoms and distances in Å follow each position.
Fractional positions:
Nb 0.0000 0.0000 0.5000  2 Si 2.47
Nb 0.5000 0.0000 0.0000  2 Si 2.47
Nb 0.0000 0.5000 0.0000  2 Si 2.47
Si 0.0000 0.0000 0.0000  6 Nb 2.47
Ba 0.5000 0.5000 0.5000  12 Nb 3.49

---

Record 3
This record from Alexandria describes a relaxed SrLaNdTm crystal. The functional is GGA-PBE.

Properties
Its symmetry is F-43m (216). The energy relative to the elements is 0.1984 eV/atom. Its total magnetization is 0.0000 μB/atom.

abc: 5.9791 5.9791 5.9791
angles: 60.00 60.00 60.00
Closest atoms and distances in Å follow each position.
Fractional positions:
La 0.5000 0.5000 0.5000  4 Sr 3.66, 4 Tm 3.66
Nd 0.0000 0.0000 0.0000  4 Tm 3.66, 4 Sr 3.66
Sr 0.2500 0.2500 0.2500  4 La 3.66, 4 Nd 3.66
Tm 0.7500 0.7500 0.7500  4 Nd 3.66, 4 La 3.66

---

Record 4
This record from Alexandria describes a relaxed TbPuPt2 crystal. The functional is GGA-PBE.

Properties
Its symmetry is R-3m (166). The energy relative to the elements is -0.9051 eV/atom. Its total magnetization is 1.2909 μB/atom.

abc: 4.1148 4.1148 6.9855
angles: 72.87 72.87 60.00
Closest atoms and distances in Å follow each position.
Fractional positions:
Pu 0.0000 0.0000 0.0000  6 Pt 2.86
Pt 0.2524 0.2524 0.2428  3 Pu 2.86, 3 Tb 2.92
Tb 0.5000 0.5000 0.5000  6 Pt 2.92
Pt 0.7476 0.7476 0.7572  3 Pu 2.86, 3 Tb 2.92